This record from Alexandria describes a geometry-optimized CoBiOF2 structure. The functional is PBE+U.

Calculated values
Energy above the lowest structure with this stoichiometry   0.15 eV/f.u.

Unit cell a=3.6991 b=3.6991 c=5.8546 alpha=90.00 beta=90.00 gamma=90.00
Space group P4/mmm (No. 123)
Inequivalent atoms, fractional coordinates:
Co1 0.0000 0.0000 0.0000
Bi1 0.0000 0.0000 0.5000
O1 0.5000 0.5000 0.5000
F1 0.0000 0.5000 0.0000